A relaxed structure of TaBRu. Source: Alexandria via LeMat-Bulk, functional PBE-GGA.

Calculated values
The formation energy comes out at -0.15 eV/atom.

Cell: 4.851 2.863 5.585 Å, 90.00 90.00 90.00°
Element x y z (fractional)
Ta: 0.250 0.000 0.149
Ta: 0.750 0.000 0.851
B: 0.000 0.000 0.500
B: 0.500 0.000 0.500
Ru: 0.250 0.500 0.690
Ru: 0.750 0.500 0.310